No. 1
Zr3Tc: relaxed, GGA-PBEsol.

The formation energy from the elements is -185 meV/atom. The value obtained for the raw total energy is -39.274 eV for the cell shown. Its crystal system is tetragonal. As for the density of states at the Fermi level: 1.139 states/eV/atom.

The space group is P4/mmm (No. 123) and the conventional cell measures 3.2675, 3.2675 and 7.3094 Å, with angles of 90.00, 90.00 and 90.00 degrees. The inequivalent atoms are Zr at (0.0000, 0.0000, 0.0000), Zr at (0.5000, 0.5000, 0.2846) and Tc at (0.0000, 0.0000, 0.5000).


No. 2
Zr3Tc: relaxed, GGA-PBEsol.

The formation energy from the elements is -200 meV/atom. The value obtained for the raw total energy is -78.669 eV for the cell shown. Its crystal system is orthorhombic. As for the density of states at the Fermi level: 1.010 states/eV/atom.

The space group is Immm (No. 71) and the conventional cell measures 3.3139, 4.8709 and 9.7195 Å, with angles of 90.00, 90.00 and 90.00 degrees. The inequivalent atoms are Zr at (0.0000, 0.0000, 0.0000), Zr at (0.0000, 0.5000, 0.2197) and Tc at (0.0000, 0.0000, 0.5000).


No. 3
Zr5Tc: relaxed, GGA-PBEsol.

The formation energy from the elements is -110 meV/atom. The value obtained for the raw total energy is -57.373 eV for the cell shown. Its crystal system is tetragonal. As for the density of states at the Fermi level: 1.233 states/eV/atom.

The space group is P4/mmm (No. 123) and the conventional cell measures 3.2483, 3.2483 and 11.5966 Å, with angles of 90.00, 90.00 and 90.00 degrees. The inequivalent atoms are Zr at (0.0000, 0.0000, 0.0000), Zr at (0.0000, 0.0000, 0.3643), Zr at (0.5000, 0.5000, 0.1824) and Tc at (0.5000, 0.5000, 0.5000).


No. 4
Te: relaxed, GGA-PBEsol.

The value obtained for the raw total energy is -10.578 eV for the cell shown. Its crystal system is trigonal. The formation energy (no corrections) comes out at 0.000 eV per atom.

The space group is P3_121 (No. 152) and the conventional cell measures 4.3100, 4.3100 and 5.9572 Å, with angles of 90.00, 90.00 and 120.00 degrees. The inequivalent atoms are Te at (0.0000, 0.2857, 0.1667).


No. 5
Te: relaxed, GGA-PBEsol.

The value obtained for the raw total energy is -10.578 eV for the cell shown. Its crystal system is trigonal. The formation energy (no corrections) comes out at 0.000 eV per atom.

The space group is P3_221 (No. 154) and the conventional cell measures 4.3090, 4.3090 and 5.9587 Å, with angles of 90.00, 90.00 and 120.00 degrees. The inequivalent atoms are Te at (0.0000, 0.2856, 0.3333).


No. 6
Te: relaxed, GGA-PBEsol.

The value obtained for the raw total energy is -24.180 eV for the cell shown. Its crystal system is cubic. As for the density of states at the Fermi level: 1.077 states/eV/atom. The formation energy (no corrections) comes out at 0.504 eV per atom.

The space group is Fd-3m (No. 227, origin choice 2) and the conventional cell measures 7.0582, 7.0582 and 7.0582 Å, with angles of 90.00, 90.00 and 90.00 degrees. The inequivalent atoms are Te at (0.1250, 0.1250, 0.1250).


No. 7
Te: relaxed, GGA-PBEsol.

The value obtained for the raw total energy is -3.506 eV for the cell shown. Its crystal system is cubic. As for the density of states at the Fermi level: 0.536 states/eV/atom. The formation energy (no corrections) comes out at 0.020 eV per atom.

The space group is Pm-3m (No. 221) and the conventional cell measures 3.1494, 3.1494 and 3.1494 Å, with angles of 90.00, 90.00 and 90.00 degrees. The inequivalent atoms are Te at (0.0000, 0.0000, 0.0000).


No. 8
Te: relaxed, GGA-PBEsol.

The value obtained for the raw total energy is -62.886 eV for the cell shown. Its crystal system is trigonal. As for the density of states at the Fermi level: 0.041 states/eV/atom. The formation energy (no corrections) comes out at 0.032 eV per atom.

The space group is R-3 (No. 148, hexagonal axes) and the conventional cell measures 12.0859, 12.0859 and 4.6729 Å, with angles of 90.00, 90.00 and 120.00 degrees. The inequivalent atoms are Te at (0.0371, 0.8130, 0.1598).


Number 1: V 19.51 A^3/atom. Number 2: V 19.61 A^3/atom. Number 3: V 20.39 A^3/atom. Number 4: V 31.95 A^3/atom. Number 5: V 31.94 A^3/atom. Number 6: V 43.95 A^3/atom. Number 7: V 31.24 A^3/atom. Number 8: V 32.84 A^3/atom.